! PBE TlSbP2Br, relaxed; values from VASP
&SYSTEM
  ibrav = 0, nat = 5, ntyp = 4
/
ATOMIC_SPECIES
P 30.97 P.upf
Tl 204.38 Tl.upf
Sb 121.76 Sb.upf
Br 79.90 Br.upf
CELL_PARAMETERS angstrom
5.0272 0.0000 0.0000
0.0000 5.5339 0.0000
0.0000 0.0000 5.0272
ATOMIC_POSITIONS crystal
P 0.5000 0.0000 0.0000
P 0.0000 0.0000 0.5000
Tl 0.5000 0.5000 0.5000
Sb 0.0000 0.5000 0.0000
Br 0.0000 0.0000 0.0000
! electronic total energy = -2.68 eV per atom
! uncorrected formation energy = 1.11 eV per atom

---

! PBE Sr2GeB2Rh5, relaxed; values from VASP
&SYSTEM
  ibrav = 0, nat = 20, ntyp = 4
/
ATOMIC_SPECIES
Sr 87.62 Sr.upf
Rh 102.91 Rh.upf
Ge 72.64 Ge.upf
B 10.81 B.upf
CELL_PARAMETERS angstrom
3.0325 0.0000 0.0000
0.0000 9.9578 0.0000
0.0000 0.0000 9.9578
ATOMIC_POSITIONS crystal
Sr 0.0000 0.6781 0.1781
Sr 0.0000 0.8219 0.6781
Sr 0.0000 0.1781 0.3219
Sr 0.0000 0.3219 0.8219
Rh 0.5000 0.5673 0.7211
Rh 0.5000 0.2211 0.0673
Rh 0.5000 0.5000 0.0000
Rh 0.5000 0.7789 0.9327
Rh 0.5000 0.7211 0.4327
Rh 0.5000 0.0000 0.5000
Rh 0.5000 0.4327 0.2789
Rh 0.5000 0.2789 0.5673
Rh 0.5000 0.9327 0.2211
Rh 0.5000 0.0673 0.7789
Ge 0.0000 0.5000 0.5000
Ge 0.0000 0.0000 0.0000
B 0.0000 0.6204 0.8796
B 0.0000 0.3796 0.1204
B 0.0000 0.1204 0.6204
B 0.0000 0.8796 0.3796
! ΔH_f (0 K) = -0.41 eV/atom
! electronic total energy = -6.22 eV per atom

---

! PBE CaSc3Be, relaxed; values from VASP
&SYSTEM
  ibrav = 0, nat = 5, ntyp = 3
/
ATOMIC_SPECIES
Sc 44.96 Sc.upf
Be 9.01 Be.upf
Ca 40.08 Ca.upf
CELL_PARAMETERS angstrom
5.0815 0.0000 0.0000
0.0000 5.0815 0.0000
0.0000 0.0000 5.0815
ATOMIC_POSITIONS crystal
Sc 0.0000 0.0000 0.5000
Sc 0.5000 0.0000 0.0000
Sc 0.0000 0.5000 0.0000
Be 0.5000 0.5000 0.5000
Ca 0.0000 0.0000 0.0000
! ΔH_f (0 K) = 1.53 eV/atom
! electronic total energy = -3.42 eV per atom
! E above lowest polymorph = 1274 meV per atom

---

! PBE HfCdSb2Ru, relaxed; values from VASP
&SYSTEM
  ibrav = 0, nat = 5, ntyp = 4
/
ATOMIC_SPECIES
Hf 178.49 Hf.upf
Sb 121.76 Sb.upf
Cd 112.41 Cd.upf
Ru 101.07 Ru.upf
CELL_PARAMETERS angstrom
-1.3937 2.7105 -4.4761
4.5185 -1.8138 -2.5052
-2.7228 -4.3313 -1.7750
ATOMIC_POSITIONS crystal
Hf 0.0000 0.0000 0.0000
Sb 0.5000 0.0000 0.0000
Sb 0.0000 0.0000 0.5000
Cd 0.0000 0.5000 0.0000
Ru 0.5000 0.5000 0.5000
! electronic total energy = -4.48 eV per atom
! uncorrected formation energy = 1.20 eV per atom